A plane-wave DFT calculation with PBE-GGA was carried out for crystalline Y2BeTcAu at its relaxed geometry.

a = 5.235 Å, b = 5.235 Å, c = 4.258 Å
α = 90.00°, β = 90.00°, γ = 90.00°
Atoms (fractional coordinates):
Y: 0.000 0.500 0.000
Y: 0.500 0.000 0.000
Be: 0.000 0.000 0.500
Tc: 0.000 0.000 0.000
Au: 0.500 0.500 0.500

As for the energy of formation: 0.161 eV/atom.

=====

A plane-wave DFT calculation with PBE-GGA was carried out for crystalline Be2TeAu2 at its relaxed geometry.

a = 7.467 Å, b = 7.467 Å, c = 2.948 Å
α = 90.00°, β = 90.00°, γ = 90.00°
Atoms (fractional coordinates):
Be: 0.151 0.349 0.000
Be: 0.349 0.849 0.000
Be: 0.651 0.151 0.000
Be: 0.849 0.651 0.000
Te: 0.000 0.000 0.000
Te: 0.500 0.500 0.000
Au: 0.135 0.635 0.500
Au: 0.365 0.135 0.500
Au: 0.635 0.865 0.500
Au: 0.865 0.365 0.500

For the excess energy over the best structure of this formula in the dataset, the calculation gives 0.272 eV/atom. The uncorrected formation energy comes out at 235 meV per atom.

=====

Number 1: total magnetic moment 0.00 μB per cell, mass density 6.9 g/cm³. Number 2: total magnetic moment 0.00 μB per cell, mass density 10.9 g/cm³.